CsHgAsPt PBE optimized geometry; distance to the lowest polymorph of the same formula = 0.27 kcal/mol of atoms; uncorrected energy = -3.22 eV per atom; SG = Imm2 (44); energy relative to the elements = -259 meV per atom; volume = 36.5 Å³/atom
1.0
-2.6382 -3.4268 -2.9844
3.8756 -1.5672 -1.6264
0.4706 -8.3262 9.1445
Pt As Cs Hg
2 2 2 2
Cartesian
2.3158 -7.4731 6.5337 Pt
-1.1763 -4.2397 1.2824 Pt
0.7317 -4.4961 -0.1098 As
0.3483 -6.1622 6.7678 As
0.0232 -0.4110 0.4514 Cs
0.8772 -7.0711 2.7183 Cs
1.0172 -9.5483 5.4389 Hg
0.1632 -2.8882 3.1720 Hg



CsRbHgAs PBE optimized geometry; distance to the lowest polymorph of the same formula = 0.00 kcal/mol of atoms; uncorrected energy = -1.97 eV per atom; SG = Amm2 (38); energy relative to the elements = -279 meV per atom; volume = 42.7 Å³/atom
1.0
5.5913 0.0000 0.0000
0.0000 4.7397 0.0000
-2.7956 0.0000 6.4448
Cs Rb Hg As
1 1 1 1
Cartesian
0.0000 0.0000 1.9498 Cs
2.7956 2.3698 4.6271 Rb
2.7956 2.3698 0.6129 Hg
0.0000 0.0000 5.6998 As



CsRbHg2As PBE optimized geometry; uncorrected energy = -1.67 eV per atom; SG = Imm2 (44); energy relative to the elements = -259 meV per atom; volume = 43.0 Å³/atom
1.0
5.5789 0.0000 0.0000
0.0000 4.7793 0.0000
-2.7894 -2.3896 8.0715
Hg Cs Rb As
2 1 1 1
Cartesian
2.7894 0.0000 4.0421 Hg
0.0000 0.0000 0.1774 Hg
0.0000 0.0000 6.9270 Cs
0.0000 2.3896 3.0320 Rb
2.7894 2.3896 5.3891 As